Compound: KAl3
Source: the Alexandria database
Functional: PBE-GGA
Structure: optimized geometry

Unit cell a=4.7768 b=4.7768 c=7.5095 alpha=84.51 beta=84.51 gamma=35.44
Fractional positions:
Al: 0.7661 0.7661 0.6649
Al: 0.2339 0.2339 0.3351
Al: 0.5000 0.5000 0.5000
K: 0.0000 0.0000 0.0000

Calculated values
**E_form**: 0.19 eV/atom
**VASP energy**: -2.895 eV/atom
**Size of the total moment**: 0.000 μB/atom